Record 1
Entry from Alexandria: a geometry-optimized Ca2TbAs3Pt4 structure (PBE).

Output
Energy of formation   -0.858 eV per atom

abc: 4.2805 4.2805 11.3674
angles: 90.00 90.00 90.00
With the nearest neighbours (Å) after each atom.
Space group P-4m2 (No. 115)
One atom of each set of equivalent atoms:
Ca (0.0000, 0.5000, 0.2197)  4 As 3.21, 8 Pt 3.29-3.32
Tb (0.0000, 0.0000, 0.5000)  4 Pt 2.80, 4 As 3.03
As (0.0000, 0.5000, 0.8737)  5 Pt 2.44-2.58
As (0.5000, 0.5000, 0.5000)  4 Pt 2.80, 4 Tb 3.03
Pt (0.0000, 0.0000, 0.0000)  4 As 2.58
Pt (0.0000, 0.5000, 0.6594)  1 As 2.44
Pt (0.5000, 0.5000, 0.0000)  4 As 2.58


Record 2
Entry from Alexandria: a geometry-optimized Ca2TiAs4Pt3 structure (PBE).

Output
Energy of formation   -0.823 eV per atom

abc: 4.2501 4.2501 10.8913
angles: 90.00 90.00 90.00
With the nearest neighbours (Å) after each atom.
Space group P-4m2 (No. 115)
One atom of each set of equivalent atoms:
Ca (0.0000, 0.5000, 0.2426)  6 Pt 3.22-3.52, 8 As 3.28-3.39, 2 Ti 3.52
Ti (0.0000, 0.0000, 0.5000)  4 As 2.59
As (0.0000, 0.0000, 0.0000)  4 Pt 2.59
As (0.0000, 0.5000, 0.6358)  3 Pt 2.48-2.59, 2 Ti 2.59
As (0.5000, 0.5000, 0.0000)  4 Pt 2.59
Pt (0.0000, 0.5000, 0.8635)  5 As 2.48-2.59
Pt (0.5000, 0.5000, 0.5000)  4 As 2.59


Record 3
Entry from Alexandria: a geometry-optimized Ca2TiAsPt structure (PBE).

Output
Energy of formation   0.103 eV per atom

abc: 5.5571 5.5571 4.6546
angles: 90.00 90.00 90.00
With the nearest neighbours (Å) after each atom.
Space group P4/mmm (No. 123)
One atom of each set of equivalent atoms:
Ca (0.0000, 0.5000, 0.0000)  2 As 2.78
Ti (0.0000, 0.0000, 0.5000)  8 Ca 3.62, 4 Pt 3.93
As (0.5000, 0.5000, 0.0000)  2 Pt 2.33
Pt (0.5000, 0.5000, 0.5000)  2 As 2.33


Record 4
Entry from Alexandria: a geometry-optimized CaTi2AsPt structure (PBE).

Output
Energy of formation   1.446 eV per atom

abc: 4.5304 4.5304 4.9435
angles: 90.00 90.00 90.00
With the nearest neighbours (Å) after each atom.
Space group P4/mmm (No. 123)
One atom of each set of equivalent atoms:
Ca (0.0000, 0.0000, 0.0000)  4 Ti 2.27, 2 As 2.47
Ti (0.0000, 0.5000, 0.0000)  2 Ca 2.27
As (0.0000, 0.0000, 0.5000)  2 Ca 2.47
Pt (0.5000, 0.5000, 0.5000)  4 As 3.20, 8 Ti 3.35


Among the records above, which one has the highest energy of formation? CaTi2AsPt